YZrW2 | PBE | relaxed

Results
Formation energy from the elements   0.29 eV per atom
Theoretical density   10.9 g cm⁻³
Polymorph energy (0 for the lowest one)   87 meV per atom
Magnetic moment   0.0 μB/f.u.

Cell lengths 3.388, 4.937, 10.020 Å; angles 90.00, 90.00, 90.00 degrees
Space group Imm2 (No. 44)
Asymmetric unit:
Y 0.000 0.000 0.000
Zr 0.000 0.500 0.772
W 0.000 0.000 0.542
W 0.000 0.500 0.232